The following is a DFT calculation (PBE) of an optimized crystal structure of NaLi14Ag.

Summary:
* DOS at the Fermi energy: 6.947 states/eV/f.u.
* calculated formation energy: -0.009 eV/atom

abc: 6.247 6.247 8.213
angles: 90.00 90.00 90.00
Sites, in units of the cell vectors:
Na (0.000, 0.000, 0.000)
Li (0.000, 0.000, 0.500)
Li (0.000, 0.500, 0.000)
Li (0.000, 0.500, 0.500)
Li (0.264, 0.264, 0.246)
Li (0.264, 0.264, 0.754)
Li (0.264, 0.736, 0.246)
Li (0.264, 0.736, 0.754)
Li (0.500, 0.000, 0.000)
Li (0.500, 0.000, 0.500)
Li (0.500, 0.500, 0.500)
Li (0.736, 0.264, 0.246)
Li (0.736, 0.264, 0.754)
Li (0.736, 0.736, 0.246)
Li (0.736, 0.736, 0.754)
Ag (0.500, 0.500, 0.000)

The following is a DFT calculation (PBE) of an optimized crystal structure of NaLi12Ag6.

Summary:
* DOS at the Fermi energy: 5.034 states/eV/f.u.
* calculated formation energy: -0.142 eV/atom

abc: 7.702 7.702 7.702
angles: 110.81 110.81 110.81
Sites, in units of the cell vectors:
Na (0.000, 0.000, 0.000)
Li (0.123, 0.734, 0.185)
Li (0.185, 0.123, 0.734)
Li (0.212, 0.497, 0.344)
Li (0.266, 0.815, 0.877)
Li (0.344, 0.212, 0.497)
Li (0.497, 0.344, 0.212)
Li (0.503, 0.656, 0.788)
Li (0.656, 0.788, 0.503)
Li (0.734, 0.185, 0.123)
Li (0.788, 0.503, 0.656)
Li (0.815, 0.877, 0.266)
Li (0.877, 0.266, 0.815)
Ag (0.037, 0.339, 0.553)
Ag (0.339, 0.553, 0.037)
Ag (0.447, 0.963, 0.661)
Ag (0.553, 0.037, 0.339)
Ag (0.661, 0.447, 0.963)
Ag (0.963, 0.661, 0.447)

The following is a DFT calculation (PBE) of an optimized crystal structure of NaLi5Ag6.

Summary:
* DOS at the Fermi energy: 3.620 states/eV/f.u.
* calculated formation energy: -0.147 eV/atom

abc: 6.792 6.792 7.651
angles: 90.00 90.00 144.30
Sites, in units of the cell vectors:
Na (0.000, 0.000, 0.000)
Li (0.000, 0.000, 0.500)
Li (0.329, 0.671, 0.000)
Li (0.332, 0.668, 0.500)
Li (0.668, 0.332, 0.500)
Li (0.671, 0.329, 0.000)
Ag (0.170, 0.830, 0.262)
Ag (0.170, 0.830, 0.738)
Ag (0.500, 0.500, 0.275)
Ag (0.500, 0.500, 0.725)
Ag (0.830, 0.170, 0.262)
Ag (0.830, 0.170, 0.738)

The following is a DFT calculation (PBE) of an optimized crystal structure of NaLi3Ag.

Summary:
* DOS at the Fermi energy: 1.456 states/eV/f.u.
* calculated formation energy: -0.052 eV/atom

abc: 8.901 5.396 10.278
angles: 90.00 121.08 90.00
Sites, in units of the cell vectors:
Na (0.194, 0.016, 0.059)
Na (0.194, 0.484, 0.559)
Na (0.806, 0.516, 0.441)
Na (0.806, 0.984, 0.941)
Li (0.003, 0.005, 0.668)
Li (0.003, 0.495, 0.168)
Li (0.372, 0.209, 0.905)
Li (0.372, 0.291, 0.405)
Li (0.394, 0.530, 0.156)
Li (0.394, 0.970, 0.656)
Li (0.606, 0.030, 0.344)
Li (0.606, 0.470, 0.844)
Li (0.628, 0.709, 0.595)
Li (0.628, 0.791, 0.095)
Li (0.997, 0.505, 0.832)
Li (0.997, 0.995, 0.332)
Ag (0.304, 0.711, 0.858)
Ag (0.304, 0.789, 0.358)
Ag (0.696, 0.211, 0.642)
Ag (0.696, 0.289, 0.142)